Entry from the Alexandria database: an optimized crystal structure of WBrO2 (PBE with a Hubbard U).

Lattice parameters (Å, degrees): 4.124 4.124 4.124 60.00 60.00 60.00
Each line ends with the local moment (μB).
Fractional coordinates of all 4 atoms:
O 0.250 0.250 0.250  -0.28
O 0.750 0.750 0.750  -0.28
Br 0.000 0.000 0.000  -0.37
W 0.500 0.500 0.500  1.95

Values from the calculation:
Final energy ... -17.469 eV per cell
E above lowest polymorph ... 1504 meV per atom
Density ... 9.9 Mg/m³
Space-group type ... No. 225